(1)
Density functional theory data (GGA-PBE) for a relaxed Na3Mn5Br12 crystal.

Density of states at the Fermi level ... 10.2 states/eV/f.u.
Raw formation energy ... -897.3 meV/atom

Cell: 14.5467 14.5467 14.5467 Å, 109.47 109.47 109.47°
Last column: nearest neighbours and their distance in Å.
Fractional positions:
Br: 0.8217 0.9072 0.0274  2 Mn 2.52-2.72
Br: 0.1201 0.7057 0.5274  2 Mn 2.52-2.72
Br: 0.0928 0.1783 0.4726  2 Mn 2.52-2.72
Br: 0.4726 0.7943 0.8799  2 Mn 2.52-2.72
Mn: 0.5000 0.5000 0.5000  6 Br 2.72
Br: 0.5855 0.8799 0.4072  2 Mn 2.52-2.72
Mn: 0.8750 0.2500 0.6250  4 Br 2.52
Br: 0.1783 0.0928 0.9726  2 Mn 2.52-2.72
Mn: 0.7500 0.1250 0.8750  4 Br 2.52
Na: 0.1250 0.2500 0.8750  8 Br 3.23-3.31
Br: 0.9145 0.0928 0.6201  2 Mn 2.52-2.72
Br: 0.6201 0.0274 0.2057  2 Mn 2.52-2.72
Br: 0.5274 0.2057 0.1201  2 Mn 2.52-2.72
Mn: 0.2500 0.8750 0.1250  4 Br 2.52
Br: 0.7057 0.5855 0.1783  2 Mn 2.52-2.72
Mn: 0.0000 0.5000 0.5000  6 Br 2.72
Br: 0.9145 0.8217 0.7943  2 Mn 2.52-2.72
Na: 0.8750 0.1250 0.2500  8 Br 3.23-3.31
Br: 0.5928 0.6201 0.4145  2 Mn 2.52-2.72
Br: 0.8799 0.5855 0.9072  2 Mn 2.52-2.72
Br: 0.0274 0.6201 0.7057  2 Mn 2.52-2.72
Br: 0.4145 0.2943 0.3217  2 Mn 2.52-2.72
Br: 0.8799 0.2943 0.4726  2 Mn 2.52-2.72
Br: 0.5855 0.7057 0.6783  2 Mn 2.52-2.72
Mn: 0.3750 0.2500 0.1250  4 Br 2.52
Br: 0.7943 0.3217 0.9145  2 Mn 2.52-2.72
Br: 0.0855 0.1783 0.2057  2 Mn 2.52-2.72
Mn: 0.1250 0.3750 0.2500  4 Br 2.52
Br: 0.2057 0.5274 0.6201  2 Mn 2.52-2.72
Br: 0.2943 0.8799 0.9726  2 Mn 2.52-2.72
Br: 0.8217 0.9145 0.2943  2 Mn 2.52-2.72
Br: 0.5274 0.3217 0.9072  2 Mn 2.52-2.72
Br: 0.7057 0.1201 0.0274  2 Mn 2.52-2.72
Br: 0.4726 0.6783 0.0928  2 Mn 2.52-2.72
Br: 0.0855 0.9072 0.3799  2 Mn 2.52-2.72
Mn: 0.8750 0.6250 0.7500  4 Br 2.52
Na: 0.8750 0.7500 0.1250  8 Br 3.23-3.31
Mn: 0.5000 0.5000 0.0000  6 Br 2.72
Br: 0.6201 0.5928 0.9145  2 Mn 2.52-2.72
Br: 0.9072 0.8217 0.5274  2 Mn 2.52-2.72
Br: 0.9726 0.5928 0.1783  2 Mn 2.52-2.72
Br: 0.7943 0.4726 0.3799  2 Mn 2.52-2.72
Br: 0.4072 0.3799 0.5855  2 Mn 2.52-2.72
Mn: 0.3750 0.1250 0.7500  4 Br 2.52
Br: 0.3217 0.7943 0.4145  2 Mn 2.52-2.72
Br: 0.2943 0.4145 0.8217  2 Mn 2.52-2.72
Br: 0.6783 0.2057 0.5855  2 Mn 2.52-2.72
Br: 0.2057 0.6783 0.0855  2 Mn 2.52-2.72
Na: 0.1250 0.8750 0.7500  8 Br 3.23-3.31
Br: 0.9072 0.0855 0.8799  2 Mn 2.52-2.72
Na: 0.7500 0.8750 0.6250  8 Br 3.23-3.31
Br: 0.3799 0.4072 0.0855  2 Mn 2.52-2.72
Br: 0.0274 0.4072 0.8217  2 Mn 2.52-2.72
Na: 0.7500 0.3750 0.1250  8 Br 3.23-3.31
Na: 0.6250 0.3750 0.7500  8 Br 3.23-3.31
Mn: 0.7500 0.6250 0.3750  4 Br 2.52
Br: 0.4072 0.0274 0.3217  2 Mn 2.52-2.72
Na: 0.3750 0.6250 0.2500  8 Br 3.23-3.31
Br: 0.1783 0.0855 0.7057  2 Mn 2.52-2.72
Br: 0.1201 0.4145 0.0928  2 Mn 2.52-2.72
Br: 0.0928 0.9145 0.1201  2 Mn 2.52-2.72
Mn: 0.0000 0.0000 0.5000  6 Br 2.72
Br: 0.3799 0.9726 0.7943  2 Mn 2.52-2.72
Mn: 0.5000 0.0000 0.0000  6 Br 2.72
Mn: 0.6250 0.8750 0.2500  4 Br 2.52
Mn: 0.0000 0.5000 0.0000  6 Br 2.72
Br: 0.5928 0.9726 0.6783  2 Mn 2.52-2.72
Mn: 0.6250 0.7500 0.8750  4 Br 2.52
Na: 0.2500 0.6250 0.8750  8 Br 3.23-3.31
Mn: 0.1250 0.7500 0.3750  4 Br 2.52
Br: 0.6783 0.4726 0.5928  2 Mn 2.52-2.72
Br: 0.3217 0.5274 0.4072  2 Mn 2.52-2.72
Na: 0.6250 0.2500 0.3750  8 Br 3.23-3.31
Br: 0.9726 0.3799 0.2943  2 Mn 2.52-2.72
Mn: 0.5000 0.0000 0.5000  6 Br 2.72
Br: 0.4145 0.1201 0.5928  2 Mn 2.52-2.72
Mn: 0.2500 0.3750 0.6250  4 Br 2.52
Na: 0.3750 0.7500 0.6250  8 Br 3.23-3.31
Mn: 0.0000 0.0000 0.0000  6 Br 2.72
Na: 0.2500 0.1250 0.3750  8 Br 3.23-3.31

---

(2)
Density functional theory data (GGA-PBE) for a relaxed BeSnOs crystal.

ΔE_f ... 0.03 eV/f.u.
Density of states at the Fermi level ... 0.1 states/eV/f.u.

Cell: 3.2113 9.6840 5.9479 Å, 90.00 90.00 90.00°
Last column: nearest neighbours and their distance in Å.
Fractional positions:
Os: 0.5000 0.9314 0.1961  4 Be 2.30-2.33
Sn: 0.0000 0.7062 0.2903  4 Os 2.72-2.76, 5 Be 2.75-3.02
Os: 0.0000 0.5686 0.6961  4 Be 2.30-2.33
Os: 0.5000 0.0686 0.6961  4 Be 2.30-2.33
Be: 0.5000 0.4669 0.4740  4 Os 2.30-2.33
Os: 0.0000 0.4314 0.1961  4 Be 2.30-2.33
Sn: 0.5000 0.2062 0.2903  4 Os 2.72-2.76, 5 Be 2.75-3.02
Be: 0.5000 0.5331 0.9740  4 Os 2.30-2.33
Sn: 0.5000 0.7938 0.7903  4 Os 2.72-2.76, 5 Be 2.75-3.02
Be: 0.0000 0.0331 0.9740  4 Os 2.30-2.33
Be: 0.0000 0.9669 0.4740  4 Os 2.30-2.33
Sn: 0.0000 0.2938 0.7903  4 Os 2.72-2.76, 5 Be 2.75-3.02

---

(3)
Density functional theory data (GGA-PBE) for a relaxed MnNi2P crystal.

ΔE_f ... -0.87 eV/f.u.
Density of states at the Fermi level ... 2.9 states/eV/f.u.

Cell: 4.4069 4.4069 4.4069 Å, 132.49 132.49 69.46°
Last column: nearest neighbours and their distance in Å.
Fractional positions:
Mn: 0.7500 0.2500 0.5000  4 P 2.51, 8 Ni 2.54
Ni: 0.5000 0.5000 0.0000  4 Ni 2.51, 4 P 2.54, 4 Mn 2.54
Ni: 0.0000 0.0000 0.0000  4 Ni 2.51, 4 Mn 2.54, 4 P 2.54
P: 0.2500 0.7500 0.5000  4 Mn 2.51, 8 Ni 2.54

---

(4)
Density functional theory data (GGA-PBE) for a relaxed Cu4TeSe5 crystal.

Density of states at the Fermi level ... 6.4 states/eV/f.u.
Raw formation energy ... -38.4 meV/atom

Cell: 6.6262 7.8110 8.2531 Å, 90.00 90.00 90.00°
Last column: nearest neighbours and their distance in Å.
Fractional positions:
Te: 0.2279 0.5000 0.5000  4 Cu 2.55-2.63
Cu: 0.5518 0.2674 0.0000  3 Se 2.36-2.47, 1 Te 2.55
Se: 0.7723 0.7522 0.3529  1 Se 2.43, 3 Cu 2.47-2.62
Te: 0.7721 0.0000 0.0000  4 Cu 2.55-2.63
Se: 0.7723 0.2478 0.3529  1 Se 2.43, 3 Cu 2.47-2.62
Cu: 0.4482 0.7674 0.5000  3 Se 2.36-2.47, 1 Te 2.55
Se: 0.2277 0.7478 0.8529  1 Se 2.43, 3 Cu 2.47-2.62
Cu: 0.4482 0.2326 0.5000  3 Se 2.36-2.47, 1 Te 2.55
Cu: 0.9928 0.5000 0.2426  5 Se 2.45-2.62, 1 Te 2.63
Cu: 0.0072 0.0000 0.7426  5 Se 2.45-2.62, 1 Te 2.63
Se: 0.2212 0.0000 0.5000  4 Cu 2.36-2.45
Cu: 0.5518 0.7326 0.0000  3 Se 2.36-2.47, 1 Te 2.55
Cu: 0.9928 0.5000 0.7574  5 Se 2.45-2.62, 1 Te 2.63
Se: 0.7723 0.2478 0.6471  1 Se 2.43, 3 Cu 2.47-2.62
Se: 0.2277 0.2522 0.8529  1 Se 2.43, 3 Cu 2.47-2.62
Cu: 0.0072 0.0000 0.2574  5 Se 2.45-2.62, 1 Te 2.63
Se: 0.7723 0.7522 0.6471  1 Se 2.43, 3 Cu 2.47-2.62
Se: 0.2277 0.2522 0.1471  1 Se 2.43, 3 Cu 2.47-2.62
Se: 0.2277 0.7478 0.1471  1 Se 2.43, 3 Cu 2.47-2.62
Se: 0.7788 0.5000 0.0000  4 Cu 2.36-2.45

---

(5)
Density functional theory data (GGA-PBE) for a relaxed Tb3Ga5Ni6 crystal.

ΔE_f ... -8.01 eV/f.u.
Density of states at the Fermi level ... 7.1 states/eV/f.u.

Cell: 4.1188 8.9951 12.1276 Å, 90.00 90.00 90.00°
Last column: nearest neighbours and their distance in Å.
Fractional positions:
Ni: 0.0000 0.9615 0.1146  4 Ga 2.44-2.61, 2 Ni 2.49
Ga: 0.5000 0.4902 0.6368  5 Ni 2.46-2.68, 1 Ga 2.64
Ga: 0.0000 0.5098 0.8632  5 Ni 2.46-2.68, 1 Ga 2.64
Tb: 0.5000 0.7467 0.1923  6 Ni 2.89-3.00, 8 Ga 3.01-3.11
Ga: 0.0000 0.9113 0.3263  5 Ni 2.46-2.61
Ni: 0.5000 0.3649 0.8370  4 Ga 2.46-2.68, 1 Ni 2.51
Tb: 0.0000 0.2297 0.0000  6 Ni 2.78-3.10, 2 Ga 3.02
Ga: 0.5000 0.4902 0.3632  5 Ni 2.46-2.68, 1 Ga 2.64
Ga: 0.5000 0.0887 0.8263  5 Ni 2.46-2.61
Ga: 0.0000 0.5098 0.1368  5 Ni 2.46-2.68, 1 Ga 2.64
Tb: 0.0000 0.2533 0.6923  6 Ni 2.89-3.00, 8 Ga 3.01-3.11
Tb: 0.0000 0.2533 0.3077  6 Ni 2.89-3.00, 8 Ga 3.01-3.11
Ga: 0.5000 0.2616 0.5000  4 Ni 2.44-2.73, 2 Ga 2.64
Ni: 0.5000 0.3649 0.1630  4 Ga 2.46-2.68, 1 Ni 2.51
Ni: 0.0000 0.9615 0.8854  4 Ga 2.44-2.61, 2 Ni 2.49
Ni: 0.0000 0.4630 0.5000  2 Ni 2.51, 6 Ga 2.66-2.74
Ni: 0.0000 0.0620 0.5000  4 Ni 2.49, 4 Ga 2.50-2.73
Ni: 0.5000 0.5370 0.0000  2 Ni 2.51, 6 Ga 2.66-2.74
Ga: 0.0000 0.7384 0.0000  4 Ni 2.44-2.73, 2 Ga 2.64
Ga: 0.5000 0.0887 0.1737  5 Ni 2.46-2.61
Ni: 0.0000 0.6351 0.6630  4 Ga 2.46-2.68, 1 Ni 2.51
Ni: 0.5000 0.0385 0.3854  4 Ga 2.44-2.61, 2 Ni 2.49
Tb: 0.5000 0.7703 0.5000  6 Ni 2.78-3.10, 2 Ga 3.02
Ga: 0.0000 0.9113 0.6737  5 Ni 2.46-2.61
Ni: 0.0000 0.6351 0.3370  4 Ga 2.46-2.68, 1 Ni 2.51
Tb: 0.5000 0.7467 0.8077  6 Ni 2.89-3.00, 8 Ga 3.01-3.11
Ni: 0.5000 0.0385 0.6146  4 Ga 2.44-2.61, 2 Ni 2.49
Ni: 0.5000 0.9380 0.0000  4 Ni 2.49, 4 Ga 2.50-2.73

---

(6)
Density functional theory data (GGA-PBE) for a relaxed PuSc3O8 crystal.

Raw formation energy ... -2929.1 meV/atom

Cell: 5.6229 5.6229 6.4215 Å, 90.00 90.00 119.23°
Last column: nearest neighbours and their distance in Å.
Fractional positions:
O: 0.7607 0.7029 0.2575  1 Pu 2.06, 2 Sc 2.13-2.17
O: 0.7006 0.2994 0.5000  1 Pu 1.95
Sc: 0.5000 0.5000 0.0000  6 O 2.08-2.13
Sc: 0.0000 0.5000 0.2139  4 O 2.01-2.17
O: 0.2994 0.7006 0.5000  1 Pu 1.95
O: 0.2854 0.7146 0.0000  3 Sc 2.01-2.08
O: 0.7029 0.7607 0.7425  1 Pu 2.06, 2 Sc 2.13-2.17
O: 0.2393 0.2971 0.2575  1 Pu 2.06, 2 Sc 2.13-2.17
O: 0.7146 0.2854 0.0000  3 Sc 2.01-2.08
Sc: 0.5000 0.0000 0.7861  4 O 2.01-2.17
Pu: 0.5000 0.5000 0.5000  6 O 1.95-2.06
O: 0.2971 0.2393 0.7425  1 Pu 2.06, 2 Sc 2.13-2.17

---

Number 1: total moment 96.017 μB/cell. Number 2: total moment 0.000 μB/cell. Number 3: total moment 4.115 μB/cell. Number 4: total moment 0.000 μB/cell. Number 5: total moment 0.000 μB/cell. Number 6: total moment 0.992 μB/cell.